Record 1
This record from OQMD via LeMat-Bulk describes a relaxed structure of Na2Mg2InGaPd2. The functional is GGA-PBE.

E_tot	-3.027	eV/atom
crystal system	tetragonal

Lattice parameters (Å, degrees): 4.6950 4.6950 6.7155 90.00 90.00 90.00
With the nearest neighbours (Å) after each atom.
Space group P-4m2 (No. 115)
One atom of each set of equivalent atoms:
Na (0.0000, 0.5000, 0.2383) [2 per cell]  2 Ga 2.84, 4 Mg 2.84-2.93, 2 In 2.93
Mg (0.0000, 0.0000, 0.0000) [1 per cell]  4 Pd 2.84, 4 Na 2.84
Mg (0.5000, 0.5000, 0.5000) [1 per cell]  4 Na 2.93, 4 Pd 2.93
In (0.0000, 0.0000, 0.5000) [1 per cell]  4 Na 2.93, 4 Pd 2.93
Ga (0.5000, 0.5000, 0.0000) [1 per cell]  4 Pd 2.84, 4 Na 2.84
Pd (0.0000, 0.5000, 0.7620) [2 per cell]  4 Mg 2.84-2.93, 2 Ga 2.84, 2 In 2.93


Record 2
This record from OQMD via LeMat-Bulk describes a relaxed structure of Cs4CuSi2S7. The functional is GGA-PBE.

E_tot	-4.299	eV/atom
crystal system	triclinic

Lattice parameters (Å, degrees): 7.4593 8.6866 8.7623 109.97 99.32 112.24
With the nearest neighbours (Å) after each atom.
Space group P-1 (No. 2)
One atom of each set of equivalent atoms:
Cs (0.0691, 0.0516, 0.2909) [2 per cell]  6 S 3.45-3.70, 1 Cu 3.69
Cs (0.2923, 0.5995, 0.8428) [2 per cell]  8 S 3.56-3.96, 1 Si 3.92
Cu (0.5000, 0.0000, 0.5000) [1 per cell]  4 S 2.33-2.37
Si (0.3383, 0.5823, 0.3280) [2 per cell]  4 S 2.08-2.24
S (0.1457, 0.3466, 0.0990) [2 per cell]  1 Si 2.08
S (0.2152, 0.7382, 0.4781) [2 per cell]  1 Si 2.13, 1 Cu 2.37
S (0.4289, 0.2038, 0.7013) [2 per cell]  1 Si 2.14, 1 Cu 2.33
S (0.5000, 0.5000, 0.5000) [1 per cell]  2 Si 2.24